Arrangement one

A relaxed structure of Y2AuF. Source: Alexandria via LeMat-Bulk, functional PBE.

Values from the calculation:
SG   I-42d, No. 122
Crystal system   tetragonal
Spin magnetization   0.00 μB/f.u.

Cell: 5.8612 5.8612 7.2926 Å, 66.31 66.31 90.00°
Element x y z (fractional)
Y: 0.5637 0.1250 0.2500
Y: 0.1863 0.6250 0.2500
Y: 0.3750 0.4363 0.7500
Y: 0.8750 0.8137 0.7500
Au: 0.0000 0.0000 0.0000
Au: 0.7500 0.2500 0.5000
F: 0.5000 0.5000 0.0000
F: 0.2500 0.7500 0.5000

---

Arrangement two

A relaxed structure of Y2AuF. Source: Alexandria via LeMat-Bulk, functional PBE.

Values from the calculation:
SG   Fm-3m, No. 225
Crystal system   cubic
Spin magnetization   0.00 μB/f.u.

Cell: 4.9797 4.9797 4.9797 Å, 60.00 60.00 60.00°
Element x y z (fractional)
Y: 0.2500 0.2500 0.2500
Y: 0.7500 0.7500 0.7500
Au: 0.5000 0.5000 0.5000
F: 0.0000 0.0000 0.0000

---

Ordering by calculated energy gives the sequence arrangement one, arrangement two, with the first entry being the most stable.

---

Arrangement one

A relaxed structure of YAu2F. Source: Alexandria via LeMat-Bulk, functional PBE.

Values from the calculation:
SG   I-42d, No. 122
Crystal system   tetragonal
Spin magnetization   0.00 μB/f.u.

Cell: 8.1056 8.1056 6.2758 Å, 49.78 49.78 90.00°
Element x y z (fractional)
Y: 0.0000 0.0000 0.0000
Y: 0.7500 0.2500 0.5000
Au: 0.6182 0.1250 0.2500
Au: 0.1318 0.6250 0.2500
Au: 0.3750 0.3818 0.7500
Au: 0.8750 0.8682 0.7500
F: 0.5000 0.5000 0.0000
F: 0.2500 0.7500 0.5000

---

Arrangement two

A relaxed structure of YAu2F. Source: Alexandria via LeMat-Bulk, functional PBE.

Values from the calculation:
SG   Fm-3m, No. 225
Crystal system   cubic
Spin magnetization   0.00 μB/f.u.

Cell: 4.8302 4.8302 4.8302 Å, 60.00 60.00 60.00°
Element x y z (fractional)
Y: 0.5000 0.5000 0.5000
Au: 0.2500 0.2500 0.2500
Au: 0.7500 0.7500 0.7500
F: 0.0000 0.0000 0.0000

---

Ordering by calculated energy gives the sequence arrangement one, arrangement two, with the first entry being the most stable.

---

Arrangement one

A relaxed structure of ZnAu2F. Source: Alexandria via LeMat-Bulk, functional PBE.

Values from the calculation:
SG   Fm-3m, No. 225
Crystal system   cubic
Spin magnetization   0.00 μB/f.u.

Cell: 4.4366 4.4366 4.4366 Å, 60.00 60.00 60.00°
Element x y z (fractional)
Zn: 0.5000 0.5000 0.5000
Au: 0.2500 0.2500 0.2500
Au: 0.7500 0.7500 0.7500
F: 0.0000 0.0000 0.0000

---

Arrangement two

A relaxed structure of ZnAu2F. Source: Alexandria via LeMat-Bulk, functional PBE.

Values from the calculation:
SG   I-42d, No. 122
Crystal system   tetragonal
Spin magnetization   0.00 μB/f.u.

Cell: 7.0233 7.0233 5.6575 Å, 51.63 51.63 90.00°
Element x y z (fractional)
Zn: 0.0000 0.0000 0.0000
Zn: 0.7500 0.2500 0.5000
Au: 0.6195 0.1250 0.2500
Au: 0.1305 0.6250 0.2500
Au: 0.3750 0.3805 0.7500
Au: 0.8750 0.8695 0.7500
F: 0.5000 0.5000 0.0000
F: 0.2500 0.7500 0.5000

---

Ordering by calculated energy gives the sequence arrangement two, arrangement one, with the first entry being the most stable.

---

Arrangement one

A relaxed structure of Zn2AuF. Source: Alexandria via LeMat-Bulk, functional PBE.

Values from the calculation:
SG   I-42d, No. 122
Crystal system   tetragonal
Spin magnetization   0.00 μB/f.u.

Cell: 6.3192 6.3192 5.5036 Å, 54.96 54.96 90.00°
Element x y z (fractional)
Zn: 0.5797 0.1250 0.2500
Zn: 0.1703 0.6250 0.2500
Zn: 0.3750 0.4203 0.7500
Zn: 0.8750 0.8297 0.7500
Au: 0.0000 0.0000 0.0000
Au: 0.7500 0.2500 0.5000
F: 0.5000 0.5000 0.0000
F: 0.2500 0.7500 0.5000

---

Arrangement two

A relaxed structure of Zn2AuF. Source: Alexandria via LeMat-Bulk, functional PBE.

Values from the calculation:
SG   Fm-3m, No. 225
Crystal system   cubic
Spin magnetization   0.00 μB/f.u.

Cell: 4.4252 4.4252 4.4252 Å, 60.00 60.00 60.00°
Element x y z (fractional)
Zn: 0.2500 0.2500 0.2500
Zn: 0.7500 0.7500 0.7500
Au: 0.5000 0.5000 0.5000
F: 0.0000 0.0000 0.0000

---

Ordering by calculated energy gives the sequence arrangement one, arrangement two, with the first entry being the most stable.